Record 1
An optimized crystal structure of K2MnAlO4. Source: Alexandria via LeMat-Bulk, functional PBE with a Hubbard U.

Properties
uncorrected energy	-96.347	eV/cell
symmetry	Fddd, No. 70

```
K2MnAlO4
1.0
5.2233 0.0000 0.0000
2.6116 6.1290 0.0000
2.6116 0.0000 9.5632
K Mn Al O
4 2 2 8
Direct
0.1835 0.0000 0.6330
0.8165 0.0000 0.3670
0.5665 0.5000 0.8670
0.9335 0.5000 0.1330
0.7500 0.5000 0.5000
0.0000 0.0000 0.0000
0.2500 0.5000 0.5000
0.5000 0.0000 0.0000
0.3197 0.8173 0.0723
0.2093 0.1827 0.9277
0.8630 0.8173 0.9277
0.6081 0.1827 0.0723
0.4303 0.6827 0.4277
0.5407 0.3173 0.5723
0.8870 0.6827 0.5723
0.1419 0.3173 0.4277
```

---

Record 2
An optimized crystal structure of KMnAlO3. Source: Alexandria via LeMat-Bulk, functional PBE with a Hubbard U.

Properties
uncorrected energy	-80.363	eV/cell
symmetry	Cmcm, No. 63

```
KMnAlO3
1.0
5.3861 0.0000 0.0000
0.0000 5.5248 0.0000
0.0000 -2.7624 5.2512
K Mn Al O
2 2 2 6
Direct
0.7500 0.2548 0.5097
0.2500 0.7452 0.4903
0.2500 0.4201 0.8401
0.7500 0.5799 0.1599
0.2500 0.0578 0.1156
0.7500 0.9422 0.8844
0.2500 0.2263 0.4526
0.0000 0.2245 0.0000
0.5000 0.7755 0.0000
0.5000 0.2245 0.0000
0.0000 0.7755 0.0000
0.7500 0.7737 0.5474
```

---

The records above give, respectively, ρ values of 2.431; 3.592 g/cm3.